No. 1
{
  "formula": "GaCu4Ni",
  "functional": "PBE",
  "state": "optimized geometry",
  "formation_enthalpy_0k_ev_per_atom": 0.465,
  "rho_g_cm3": 6.82,
  "lattice_angstrom": [[-2.3619, 2.3619, 8.3552], [2.3619, -2.3619, 8.3552], [2.3619, 2.3619, -8.3552]],
  "species": ["Ga", "Ga", "Cu", "Cu", "Cu", "Cu", "Cu", "Cu", "Cu", "Cu", "Ni", "Ni"],
  "fractional_positions": [[0.3750, 0.6250, 0.7500], [0.6250, 0.3750, 0.2500], [0.2485, 0.2487, 0.9998], [0.2487, 0.2485, 0.4998], [0.2487, 0.7490, 0.0002], [0.2510, 0.7513, 0.4998], [0.7490, 0.2487, 0.5002], [0.7513, 0.2510, 0.9998], [0.7515, 0.7513, 0.0002], [0.7513, 0.7515, 0.5002], [0.1250, 0.8750, 0.2500], [0.8750, 0.1250, 0.7500]]
}

***

No. 2
{
  "formula": "Sr2H2Se",
  "functional": "PBE",
  "state": "optimized geometry",
  "final_energy_ev_per_atom": -3.831,
  "rho_g_cm3": 4.18,
  "lattice_angstrom": [[-1.9848, 1.9848, 6.4594], [1.9848, -1.9848, 6.4594], [1.9848, 1.9848, -6.4594]],
  "species": ["Sr", "Sr", "H", "H", "Se"],
  "fractional_positions": [[0.1386, 0.1386, 0.0000], [0.8614, 0.8614, 0.0000], [0.2500, 0.7500, 0.5000], [0.7500, 0.2500, 0.5000], [0.5000, 0.5000, 0.0000]]
}

***

No. 3
{
  "formula": "BaTcS2F",
  "functional": "PBE",
  "state": "optimized geometry",
  "raw_formation_energy_ev_per_atom": 0.125,
  "rho_g_cm3": 4.03,
  "lattice_angstrom": [[5.3537, 0.0000, 0.0000], [0.0000, 5.3537, 0.0000], [0.0000, 0.0000, 4.5746]],
  "species": ["Ba", "Tc", "S", "S", "F"],
  "fractional_positions": [[0.0000, 0.0000, 0.0000], [0.5000, 0.5000, 0.0000], [0.0000, 0.5000, 0.5000], [0.5000, 0.0000, 0.5000], [0.0000, 0.0000, 0.5000]]
}

***

No. 4
{
  "formula": "TlCr2FeCl",
  "functional": "PBE",
  "state": "optimized geometry",
  "raw_formation_energy_ev_per_atom": 1.148,
  "rho_g_cm3": 6.08,
  "lattice_angstrom": [[4.4263, 0.0000, 0.0000], [0.0000, 4.4263, 0.0000], [0.0000, 0.0000, 5.5720]],
  "species": ["Tl", "Cr", "Cr", "Fe", "Cl"],
  "fractional_positions": [[0.0000, 0.0000, 0.0000], [0.0000, 0.5000, 0.5000], [0.5000, 0.0000, 0.5000], [0.5000, 0.5000, 0.0000], [0.0000, 0.0000, 0.5000]]
}

***

No. 5
{
  "formula": "SrGeSb2I",
  "functional": "PBE",
  "state": "optimized geometry",
  "raw_formation_energy_ev_per_atom": 0.679,
  "rho_g_cm3": 3.82,
  "lattice_angstrom": [[6.1778, 0.0000, 0.0000], [0.0000, 6.1778, 0.0000], [0.0000, 0.0000, 6.0513]],
  "species": ["Sr", "Ge", "Sb", "Sb", "I"],
  "fractional_positions": [[0.0000, 0.0000, 0.0000], [0.5000, 0.5000, 0.5000], [0.0000, 0.5000, 0.0000], [0.5000, 0.0000, 0.0000], [0.0000, 0.0000, 0.5000]]
}

***

No. 6
{
  "formula": "LiTeAs2",
  "functional": "PBE",
  "state": "optimized geometry",
  "raw_formation_energy_ev_per_atom": -0.117,
  "rho_g_cm3": 5.29,
  "lattice_angstrom": [[2.9858, 0.0000, 0.0000], [0.0000, 4.2827, 0.0000], [0.0000, 0.0000, 6.9835]],
  "species": ["Li", "Te", "As", "As"],
  "fractional_positions": [[0.0000, 0.0000, 0.0000], [0.5000, 0.0000, 0.5000], [0.5000, 0.5000, 0.1822], [0.5000, 0.5000, 0.8178]]
}